Nb2AlNi (PBE, relaxed); uncorrected energy = -30.56 eV/cell; theoretical density = 7.18 g cm⁻³; formation energy from the elements = -0.2231 eV per atom; SG = P4/mmm
1.0
3.949 0.000 0.000
0.000 3.949 0.000
0.000 0.000 4.029
Nb Al Ni
2 1 1
Cartesian
0.000 1.974 0.000
1.974 0.000 0.000
0.000 0.000 2.015
1.974 1.974 2.015



NbAl2Ni (PBE, relaxed); uncorrected energy = -25.03 eV/cell; theoretical density = 5.82 g cm⁻³; formation energy from the elements = -0.4225 eV per atom; SG = P4/mmm
1.0
3.951 0.000 0.000
0.000 3.951 0.000
0.000 0.000 3.759
Nb Al Ni
1 2 1
Cartesian
0.000 0.000 0.000
0.000 1.975 1.880
1.975 0.000 1.880
1.975 1.975 0.000